Zr4Hg2C | GGA-PBE | relaxed

```
Zr4Hg2C
1.0
4.520 0.000 0.000
0.000 4.520 0.000
-2.260 -2.260 7.267
C Hg Zr
1 2 4
direct
0.000 0.000 0.000 C
0.639 0.639 0.279 Hg
0.361 0.361 0.721 Hg
0.840 0.840 0.680 Zr
0.160 0.160 0.320 Zr
0.000 0.500 0.000 Zr
0.500 0.000 0.000 Zr
```

Fermi-level density of states: 5.66 states/eV per cell
energy of formation: -253 meV per atom
polymorph energy (0 for the lowest one): 49 meV/atom
electronic total energy: -0.240 Ha/atom
symmetry: I4/mmm (139)
theoretical density: 8702 kg/m³
total magnetization: 0.00 μB per formula unit

=====

Pm2Y8In | GGA-PBE | relaxed

```
Pm2Y8In
1.0
-5.573 1.241 0.846
-2.057 -9.088 -3.266
-1.051 -9.175 3.492
Pm Y In
2 8 1
direct
0.740 0.279 0.279 Pm
0.260 0.721 0.721 Pm
0.260 0.137 0.619 Y
0.260 0.619 0.137 Y
0.740 0.863 0.381 Y
0.228 0.551 0.551 Y
0.740 0.381 0.863 Y
0.228 0.172 0.172 Y
0.772 0.828 0.828 Y
0.772 0.449 0.449 Y
0.000 0.000 0.000 In
```

Fermi-level density of states: 16.42 states/eV per cell
energy of formation: 57 meV per atom
polymorph energy (0 for the lowest one): 119 meV/atom
electronic total energy: -0.212 Ha/atom
symmetry: C2/m (12)
theoretical density: 5079 kg/m³
total magnetization: 0.00 μB per formula unit

=====

Y4Ni3Rh | GGA-PBE | relaxed

```
Y4Ni3Rh
1.0
-1.248 -1.200 3.363
2.955 -2.971 0.036
6.551 6.574 4.777
Y Ni Rh
4 3 1
direct
0.500 0.500 0.361 Y
0.000 0.500 0.859 Y
0.000 0.000 0.141 Y
0.500 0.000 0.639 Y
0.000 0.500 0.569 Ni
0.000 0.000 0.432 Ni
0.500 0.000 0.920 Ni
0.500 0.500 0.079 Rh
```

Fermi-level density of states: 6.07 states/eV per cell
energy of formation: -530 meV per atom
electronic total energy: -0.252 Ha/atom
symmetry: Pmm2 (25)
theoretical density: 6371 kg/m³
total magnetization: 0.00 μB per formula unit

=====

NaCeNiSe3 | GGA-PBE | relaxed

```
NaCeNiSe3
1.0
4.073 0.000 0.000
0.000 8.469 0.107
0.000 -2.128 8.840
Na Ce Ni Se
2 2 2 6
direct
0.250 0.185 0.223 Na
0.750 0.815 0.777 Na
0.250 0.682 0.169 Ce
0.750 0.318 0.831 Ce
0.250 0.086 0.578 Ni
0.750 0.914 0.422 Ni
0.750 0.908 0.149 Se
0.250 0.092 0.851 Se
0.250 0.800 0.489 Se
0.750 0.200 0.511 Se
0.750 0.435 0.163 Se
0.250 0.565 0.837 Se
```

ΔE_f (raw): -1.1548 eV/atom
Fermi-level density of states: 11.41 states/eV per cell
electronic total energy: -0.186 Ha/atom
symmetry: P2_1/m (11)
theoretical density: 4980 kg/m³
total magnetization: 0.28 μB per formula unit

=====

Repeat the first record exactly.
Zr4Hg2C | GGA-PBE | relaxed

```
Zr4Hg2C
1.0
4.520 0.000 0.000
0.000 4.520 0.000
-2.260 -2.260 7.267
C Hg Zr
1 2 4
direct
0.000 0.000 0.000 C
0.639 0.639 0.279 Hg
0.361 0.361 0.721 Hg
0.840 0.840 0.680 Zr
0.160 0.160 0.320 Zr
0.000 0.500 0.000 Zr
0.500 0.000 0.000 Zr
```

Fermi-level density of states: 5.66 states/eV per cell
energy of formation: -253 meV per atom
polymorph energy (0 for the lowest one): 49 meV/atom
electronic total energy: -0.240 Ha/atom
symmetry: I4/mmm (139)
theoretical density: 8702 kg/m³
total magnetization: 0.00 μB per formula unit